Entry from the Alexandria database: ScAgO3 after structural relaxation (GGA-PBE).

abc: 6.488 6.488 3.213
angles: 90.00 90.00 103.31
Fractional coordinates of all 10 atoms:
Sc 0.000 0.500 0.000
Sc 0.500 0.000 0.000
Ag 0.000 0.000 0.500
Ag 0.500 0.500 0.500
O 0.136 0.864 0.000
O 0.187 0.464 0.500
O 0.464 0.187 0.500
O 0.536 0.813 0.500
O 0.813 0.536 0.500
O 0.864 0.136 0.000

The crystal system is orthorhombic. For the total moment, the calculation gives 0.00 Bohr magnetons per cell. The value obtained for the total DFT energy (no corrections) is -6.4992 eV per atom. The value obtained for the formation energy (no corrections) is -1.688 eV/atom.